# NdSm3Tm, optimized geometry, DFT PBE
data_NdSm3Tm
_chemical_formula_sum 'Nd2 Sm6 Tm2'
_cell_length_a 3.637
_cell_length_b 11.746
_cell_length_c 8.638
_cell_angle_alpha 90.00
_cell_angle_beta 101.25
_cell_angle_gamma 90.00
_symmetry_space_group_name_H-M 'P 1 21/m 1'
_symmetry_Int_Tables_number 11
_symmetry_space_group_name_Hall '-P 2yb'
loop_
_atom_site_label
_atom_site_fract_x
_atom_site_fract_y
_atom_site_fract_z
Nd1 0.057 0.250 0.474
Sm1 0.166 0.002 0.806
Sm2 0.330 0.250 0.125
Tm1 0.319 0.750 0.194
# **Raw total energy**: -4.399 eV/atom
# **Formation enthalpy at 0 K**: 280 meV per atom
# **Density**: 7.01 Mg/m³
# **Crystal system**: monoclinic
# **DOS(E_F)**: 1.6688 states/eV/atom
# **Offset from the most stable computed form**: 0.2194 eV per atom